# PBE+U Tl2Cr2TeO6, relaxed
# final energy: -0.2215 hartree per atom
# size of the total moment: 0.546 μB per atom
data_Tl2Cr2TeO6
_chemical_formula_sum 'Tl4 Cr4 Te2 O12'
_cell_length_a 5.510
_cell_length_b 9.544
_cell_length_c 6.945
_cell_angle_alpha 90.00
_cell_angle_beta 108.13
_cell_angle_gamma 90.00
_space_group_name_H-M_alt 'C 1 2/m 1'
_space_group_IT_number 12
_space_group_name_Hall '-C 2y'
loop_
_atom_site_label
_atom_site_type_symbol
_atom_site_fract_x
_atom_site_fract_y
_atom_site_fract_z
Tl1 Tl 0.000 0.169 0.000
Cr1 Cr 0.000 0.334 0.500
Te1 Te 0.000 0.000 0.500
O1 O 0.211 0.500 0.657
O2 O 0.237 0.177 0.659